Material: La2CrGeN
Method: DFT, PBE-GGA
State: relaxed

Computed properties:
The calculation puts the formation energy (no corrections) at -0.69 eV/atom.

The structure in POSCAR format:
```
La2CrGeN
1.0
-3.8429 -3.4587 -1.0068
2.0988 -3.3462 3.4846
-2.1506 1.5728 2.8057
La Ge Cr N
2 1 1 1
Cartesian
1.0494 -1.6731 1.7423
-1.9215 -1.7294 -0.5034
-1.9474 -2.6161 2.6417
-1.0753 0.7864 1.4029
0.0000 0.0000 0.0000
```



Material: Pm8Pr3Y2
Method: DFT, PBE-GGA
State: relaxed

Computed properties:
The calculation puts the formation energy at 0.22 eV/atom. The calculation puts the relative energy among the computed polymorphs at 6.3 kJ per mole of atoms.

The structure in POSCAR format:
```
Pm8Pr3Y2
1.0
-2.5362 4.8871 1.8817
-6.9783 -2.9731 -1.6837
2.8947 -2.4703 10.3197
Pm Pr Y
8 3 2
Cartesian
-0.1614 -1.0720 2.5702
-6.4584 0.5157 7.9475
-0.2813 -0.0405 8.7228
-3.4305 0.7239 2.4945
-6.3386 -0.5158 1.7949
-6.2310 2.0310 4.3193
-0.3889 -2.5873 6.1984
-3.1894 -1.2802 8.0232
-1.6598 1.5571 11.7140
-4.9601 -2.1134 -1.1963
-1.2681 2.4435 0.9409
-5.0619 -1.0872 4.9958
-1.5580 0.5309 5.5219
```



Material: Sc2SiHIr6
Method: DFT, PBE-GGA
State: relaxed

Computed properties:
The total energy is -79.048 eV per cell.

The structure in POSCAR format:
```
Sc2SiHIr6
1.0
5.9382 0.0020 0.0018
0.0019 5.9385 0.0018
2.9713 2.9715 4.1995
Ir H Sc Si
6 1 2 1
Cartesian
4.5625 4.5630 4.2004
1.5929 4.3476 0.0018
4.3490 4.3489 0.0027
2.9704 2.9706 1.9502
5.9411 5.9414 2.2529
4.3472 1.5929 0.0018
2.9701 2.9702 0.0018
5.9403 2.9714 2.1015
2.9712 5.9406 2.1016
0.0000 0.0000 0.0000
```



Material: Mg3Ga7
Method: DFT, PBE-GGA
State: relaxed

Computed properties:
The calculation puts the formation energy at -0.09 eV/atom.

The structure in POSCAR format:
```
Mg3Ga7
1.0
4.2142 0.0000 0.0000
0.0000 5.8939 0.1065
-2.1071 -1.8306 7.5381
Ga Mg
7 3
Cartesian
2.1071 4.2110 4.5821
0.0000 -0.1478 3.0625
2.1071 4.3809 1.5815
0.0000 -0.3177 6.0631
0.0000 2.9469 0.0533
2.1071 1.4159 1.5497
0.0000 2.6474 6.0949
0.0000 0.0000 0.0000
2.1071 1.2215 4.6456
0.0000 2.8418 2.9990
```



Material: CrCu2AgB
Method: DFT, PBE-GGA
State: relaxed

Computed properties:
The calculation puts the formation energy at 1.26 eV/atom.

The structure in POSCAR format:
```
CrCu2AgB
1.0
4.5697 0.0000 0.0000
0.0000 3.8723 0.0000
0.0000 0.0000 4.5697
Cu Cr Ag B
2 1 1 1
Cartesian
0.0000 0.0000 2.2848
2.2848 0.0000 0.0000
0.0000 0.0000 0.0000
2.2848 1.9361 2.2848
0.0000 1.9361 0.0000
```



Material: TbSm2DyHo4
Method: DFT, PBE-GGA
State: relaxed

Computed properties:
The calculation puts the formation energy at 0.43 eV/atom.

The structure in POSCAR format:
```
TbSm2DyHo4
1.0
-7.8895 1.2356 5.1232
4.4547 -2.6820 7.9361
4.1143 6.6690 -8.7673
Sm Ho Dy Tb
4 8 2 2
Cartesian
-3.9447 0.6178 2.5616
2.0572 3.3345 -4.3836
-1.7174 -0.7231 6.5296
-1.8876 3.9523 -1.8220
5.5088 4.9560 -1.5349
3.4011 1.6375 2.8372
-0.8381 -0.3497 3.2507
1.5176 5.5724 1.0412
-2.7217 3.5852 1.4547
-4.8294 0.2667 5.8269
1.2015 2.9536 -1.0993
-0.5220 2.2691 5.3913
-3.7752 7.9046 -3.6441
0.3398 2.6114 2.1460
2.2273 -1.3409 3.9680
-3.6050 3.2291 4.7076
```